# BH2RhAu, optimized geometry, DFT PBE-GGA
# DOS at the Fermi energy   3.501 states/eV per cell
# DFT total energy   -3.68 eV per atom
data_BH2RhAu
_symmetry_space_group_name_H-M 'P 4/m m m'
_symmetry_Int_Tables_number 123
_symmetry_space_group_name_Hall '-P 4 2'
_cell_length_a 3.655
_cell_length_b 3.655
_cell_length_c 4.227
_cell_angle_alpha 90.00
_cell_angle_beta 90.00
_cell_angle_gamma 90.00
loop_
_atom_site_label
_atom_site_fract_x
_atom_site_fract_y
_atom_site_fract_z
B1 0.000 0.000 0.000
H1 0.000 0.500 0.000
Rh1 0.500 0.500 0.500
Au1 0.000 0.000 0.500